CuRe3Mo, relaxed, DFT PBE; calculated volume = 85.1 Å³/cell; energy of formation from the pure elements = 1.90 eV per atom
1.0
-1.389 -1.230 3.988
1.442 -4.086 -0.758
3.916 1.068 1.694
Mo Re Cu
1 3 1
Cartesian
1.984 -2.124 2.462 Mo
0.721 -2.043 -0.379 Re
1.958 0.534 0.847 Re
-0.695 -0.615 1.994 Re
0.000 0.000 0.000 Cu


CuReMo2, relaxed, DFT PBE; calculated volume = 59.7 Å³/cell; polymorph energy (0 for the lowest one) = 0.1573 eV/atom; energy of formation from the pure elements = 0.33 eV per atom
1.0
2.644 0.000 0.000
0.000 2.644 0.000
0.000 0.000 8.538
Mo Re Cu
2 1 1
Cartesian
1.322 1.322 2.174 Mo
0.000 0.000 8.406 Mo
0.000 0.000 4.395 Re
1.322 1.322 6.370 Cu


Cu2ReMo, relaxed, DFT PBE; calculated volume = 56.4 Å³/cell; polymorph energy (0 for the lowest one) = 0.1835 eV/atom; energy of formation from the pure elements = 0.37 eV per atom
1.0
-2.076 -2.148 3.099
-0.873 -4.185 -0.497
2.091 -2.930 2.359
Cu Mo Re
2 1 1
Cartesian
0.000 0.000 0.000 Cu
-0.214 -2.316 1.240 Cu
-0.429 -4.631 2.481 Mo
-0.643 -6.947 3.721 Re


Cu2ReMo, relaxed, DFT PBE; calculated volume = 55.9 Å³/cell; polymorph energy (0 for the lowest one) = 0.0719 eV/atom; energy of formation from the pure elements = 0.26 eV per atom
1.0
-0.016 0.529 -2.542
-3.732 -1.416 -0.272
-1.939 4.913 1.034
Re Cu Mo
1 2 1
Cartesian
-3.331 3.247 -0.630 Re
-0.024 0.060 0.013 Cu
-2.329 0.710 -1.164 Cu
-0.974 2.466 0.519 Mo


CuReMo, relaxed, DFT PBE; calculated volume = 43.9 Å³/cell; polymorph energy (0 for the lowest one) = 0.1333 eV/atom; energy of formation from the pure elements = 0.27 eV per atom
1.0
6.839 -0.036 0.028
6.171 2.547 0.010
0.667 -0.661 2.497
Cu Re Mo
1 1 1
Cartesian
0.674 -0.660 2.495 Cu
8.886 1.451 0.860 Re
4.785 0.397 1.676 Mo


CuReMo2, relaxed, DFT PBE; calculated volume = 59.7 Å³/cell; polymorph energy (0 for the lowest one) = 0.0068 eV/atom; energy of formation from the pure elements = 0.18 eV per atom
1.0
4.446 0.000 0.000
0.000 2.648 -0.017
0.000 0.835 5.068
Cu Mo Re
1 2 1
Cartesian
2.223 2.364 3.852 Cu
2.223 0.931 1.354 Mo
0.000 0.909 4.967 Mo
0.000 1.856 2.473 Re


CuReMo, relaxed, DFT PBE; calculated volume = 43.4 Å³/cell; polymorph energy (0 for the lowest one) = 0.0283 eV/atom; energy of formation from the pure elements = 0.17 eV per atom
1.0
4.729 0.003 0.002
2.224 4.174 -0.002
-2.943 -2.976 2.202
Mo Cu Re
1 1 1
Cartesian
2.334 1.402 0.000 Mo
0.011 0.007 0.000 Cu
4.609 2.768 0.000 Re


CuReMo2, relaxed, DFT PBE; calculated volume = 59.1 Å³/cell; polymorph energy (0 for the lowest one) = 0.0656 eV/atom; energy of formation from the pure elements = 0.24 eV per atom
1.0
3.237 0.000 0.000
0.000 3.237 0.000
0.000 0.000 5.640
Mo Cu Re
2 1 1
Cartesian
1.619 1.619 1.432 Mo
0.000 0.000 5.531 Mo
1.619 1.619 4.225 Cu
0.000 0.000 2.911 Re


Cu2ReMo, relaxed, DFT PBE; calculated volume = 55.7 Å³/cell; polymorph energy (0 for the lowest one) = 0.0694 eV/atom; energy of formation from the pure elements = 0.25 eV per atom
1.0
4.677 -0.003 -0.022
3.972 2.469 -0.022
0.525 0.150 4.813
Cu Mo Re
2 1 1
Cartesian
9.165 2.614 4.700 Cu
6.873 1.960 3.656 Cu
4.551 1.298 2.359 Mo
2.344 0.668 1.209 Re


CuReMo2, relaxed, DFT PBE; calculated volume = 59.1 Å³/cell; polymorph energy (0 for the lowest one) = 0.0785 eV/atom; energy of formation from the pure elements = 0.25 eV per atom
1.0
-0.753 4.681 -0.128
-4.532 0.827 1.127
3.342 -2.568 2.176
Cu Mo Re
1 2 1
Cartesian
-0.027 2.434 1.273 Cu
-1.917 0.506 1.901 Mo
0.000 0.000 0.000 Mo
-2.643 2.754 0.499 Re


CuReMo2, relaxed, DFT PBE; calculated volume = 59.9 Å³/cell; polymorph energy (0 for the lowest one) = 0.0757 eV/atom; energy of formation from the pure elements = 0.25 eV per atom
1.0
5.108 0.001 0.002
2.288 4.567 -0.002
-3.287 -2.949 2.567
Mo Cu Re
2 1 1
Cartesian
7.323 4.523 0.000 Mo
2.747 -0.340 1.285 Mo
1.364 1.960 1.282 Cu
3.768 2.327 0.000 Re


Cu2ReMo, relaxed, DFT PBE; calculated volume = 56.4 Å³/cell; polymorph energy (0 for the lowest one) = 0.0646 eV/atom; energy of formation from the pure elements = 0.25 eV per atom
1.0
9.019 -0.006 -0.003
8.614 2.672 -0.003
8.614 1.302 2.333
Cu Mo Re
2 1 1
Cartesian
6.658 1.007 0.590 Cu
26.179 3.958 2.320 Cu
13.173 1.992 1.167 Mo
19.606 2.964 1.738 Re


CuReMo2, relaxed, DFT PBE; calculated volume = 59.6 Å³/cell; polymorph energy (0 for the lowest one) = 0.0125 eV/atom; energy of formation from the pure elements = 0.19 eV per atom
1.0
2.672 0.008 0.000
-0.772 2.558 0.000
0.000 0.000 8.703
Mo Cu Re
2 1 1
Cartesian
0.950 1.283 2.196 Mo
0.000 0.000 8.648 Mo
0.950 1.283 6.511 Cu
0.000 0.000 4.404 Re


Cu2ReMo, relaxed, DFT PBE; calculated volume = 55.9 Å³/cell; polymorph energy (0 for the lowest one) = 0.0491 eV/atom; energy of formation from the pure elements = 0.23 eV per atom
1.0
-1.058 1.725 -2.430
0.456 -2.455 -1.940
-5.205 -1.766 1.012
Cu Re Mo
2 1 1
Cartesian
-0.110 -0.037 0.021 Cu
-1.479 -0.765 -1.956 Cu
-4.186 -1.683 -1.430 Re
-2.634 -0.894 0.512 Mo


CuReMo2, relaxed, DFT PBE; calculated volume = 60.0 Å³/cell; polymorph energy (0 for the lowest one) = 0.0999 eV/atom; energy of formation from the pure elements = 0.28 eV per atom
1.0
2.592 0.000 0.000
0.000 4.192 0.000
0.000 0.000 5.521
Mo Re Cu
2 1 1
Cartesian
0.000 0.000 5.435 Mo
1.296 2.096 1.415 Mo
0.000 0.000 2.817 Re
1.296 2.096 4.137 Cu


CuReMo, relaxed, DFT PBE; calculated volume = 52.3 Å³/cell; polymorph energy (0 for the lowest one) = 0.6908 eV/atom; energy of formation from the pure elements = 0.83 eV per atom
1.0
-1.880 0.231 3.746
-2.260 -3.241 1.418
1.420 -2.306 3.207
Re Cu Mo
1 1 1
Cartesian
-2.040 -3.986 6.278 Re
0.000 0.000 0.000 Cu
-1.360 -2.658 4.185 Mo


CuReMo2, relaxed, DFT PBE; calculated volume = 59.1 Å³/cell; polymorph energy (0 for the lowest one) = 0.0317 eV/atom; energy of formation from the pure elements = 0.21 eV per atom
1.0
4.708 -0.005 0.000
1.406 4.494 0.000
-3.057 -2.244 2.790
Re Cu Mo
1 1 2
Cartesian
0.703 2.247 1.395 Re
2.354 -0.003 1.395 Cu
3.057 2.244 0.000 Mo
0.000 0.000 0.000 Mo


CuReMo2, relaxed, DFT PBE; calculated volume = 59.1 Å³/cell; polymorph energy (0 for the lowest one) = 0.0590 eV/atom; energy of formation from the pure elements = 0.23 eV per atom
1.0
-1.731 1.446 2.326
-2.676 -1.475 -1.075
1.007 -4.338 3.446
Mo Re Cu
2 1 1
Cartesian
0.519 -2.234 1.775 Mo
0.992 -4.273 3.394 Mo
-1.952 -1.099 1.487 Re
-1.449 -3.268 3.210 Cu


Cu2ReMo, relaxed, DFT PBE; calculated volume = 56.0 Å³/cell; polymorph energy (0 for the lowest one) = 0.1241 eV/atom; energy of formation from the pure elements = 0.31 eV per atom
1.0
2.658 0.000 0.000
0.000 4.664 -0.016
0.000 3.096 4.509
Mo Re Cu
1 1 2
Cartesian
1.329 3.880 2.247 Mo
0.000 1.548 2.255 Re
1.329 2.332 -0.008 Cu
0.000 0.000 0.000 Cu


CuReMo2, relaxed, DFT PBE; calculated volume = 59.5 Å³/cell; polymorph energy (0 for the lowest one) = 0.0261 eV/atom; energy of formation from the pure elements = 0.20 eV per atom
1.0
5.283 0.001 0.004
-2.363 4.546 -0.004
0.557 0.736 2.478
Re Cu Mo
1 1 2
Cartesian
-0.903 2.641 1.237 Re
1.460 2.273 0.000 Cu
0.000 0.000 0.000 Mo
2.920 0.369 1.241 Mo


CuReMo2, relaxed, DFT PBE; calculated volume = 130.8 Å³/cell; polymorph energy (0 for the lowest one) = 0.6426 eV/atom; energy of formation from the pure elements = 0.82 eV per atom
1.0
-5.106 -3.497 -3.332
4.617 -2.110 -4.861
0.290 -4.958 -2.654
Cu Mo Re
2 4 2
Cartesian
-0.244 -2.804 -4.097 Cu
2.331 -4.936 -5.806 Cu
-0.043 -5.786 -4.982 Mo
2.405 -2.937 -4.063 Mo
-2.627 -3.747 -3.409 Mo
-0.134 -8.660 -9.241 Mo
0.000 0.000 0.000 Re
-2.530 -5.629 -5.042 Re


CuReMo2, relaxed, DFT PBE; calculated volume = 58.7 Å³/cell; polymorph energy (0 for the lowest one) = 0.0000 eV/atom; energy of formation from the pure elements = 0.18 eV per atom
1.0
3.908 0.000 0.000
0.000 3.910 0.000
0.000 0.000 3.839
Cu Mo Re
1 2 1
Cartesian
0.000 1.955 1.920 Cu
0.000 0.000 0.000 Mo
1.954 1.955 0.000 Mo
1.954 0.000 1.920 Re


Cu2ReMo, relaxed, DFT PBE; calculated volume = 55.0 Å³/cell; polymorph energy (0 for the lowest one) = 0.0748 eV/atom; energy of formation from the pure elements = 0.26 eV per atom
1.0
-0.818 -0.141 -3.573
2.081 -2.995 -0.358
-3.242 -2.353 0.835
Mo Cu Re
1 2 1
Cartesian
-2.030 -1.247 -1.369 Mo
0.631 -1.568 -1.966 Cu
0.000 0.000 0.000 Cu
-0.580 -2.674 0.238 Re


CuReMo, relaxed, DFT PBE; calculated volume = 43.4 Å³/cell; polymorph energy (0 for the lowest one) = 0.2037 eV/atom; energy of formation from the pure elements = 0.34 eV per atom
1.0
-3.948 2.566 4.442
-5.462 -0.694 3.403
5.659 -1.809 -2.570
Mo Re Cu
1 1 1
Cartesian
-3.186 0.634 2.656 Mo
-6.208 1.235 5.175 Re
-0.017 0.003 0.014 Cu


CuRe4Mo, relaxed, DFT PBE; calculated volume = 95.9 Å³/cell; energy of formation from the pure elements = 0.42 eV per atom
1.0
-2.746 -1.435 4.098
-4.602 2.109 0.875
-4.266 -2.795 -0.617
Re Mo Cu
4 1 1
Cartesian
-7.250 -1.324 2.719 Re
-5.886 -0.611 0.683 Re
-4.963 -2.372 2.284 Re
-5.130 0.065 3.026 Re
0.000 0.000 0.000 Mo
-2.904 -0.530 1.089 Cu


Cu2ReMo, relaxed, DFT PBE; calculated volume = 55.0 Å³/cell; polymorph energy (0 for the lowest one) = 0.0691 eV/atom; energy of formation from the pure elements = 0.25 eV per atom
1.0
-0.983 0.435 3.949
-0.329 -2.560 0.200
4.663 -3.150 1.507
Cu Mo Re
2 1 1
Cartesian
2.185 -2.858 0.858 Cu
4.645 -3.146 1.502 Cu
0.592 -1.210 2.401 Mo
2.759 -4.065 3.255 Re


Cu2ReMo, relaxed, DFT PBE; calculated volume = 55.0 Å³/cell; polymorph energy (0 for the lowest one) = 0.0735 eV/atom; energy of formation from the pure elements = 0.26 eV per atom
1.0
-0.393 0.004 5.783
3.401 -2.771 -2.093
1.834 1.288 1.282
Cu Re Mo
2 1 1
Cartesian
0.721 0.646 3.532 Cu
0.000 0.000 0.000 Cu
1.504 -1.383 1.845 Re
2.617 -0.741 -0.406 Mo


CuReMo2, relaxed, DFT PBE; calculated volume = 59.5 Å³/cell; polymorph energy (0 for the lowest one) = 0.0730 eV/atom; energy of formation from the pure elements = 0.25 eV per atom
1.0
-3.863 -1.490 2.892
-3.381 -3.025 -2.219
4.926 0.374 1.052
Mo Cu Re
2 1 1
Cartesian
-7.170 -4.469 0.666 Mo
-3.697 -2.304 0.343 Mo
-1.039 -2.455 -0.415 Cu
-1.280 -1.687 2.140 Re


CuReMo2, relaxed, DFT PBE; calculated volume = 60.2 Å³/cell; polymorph energy (0 for the lowest one) = 0.1624 eV/atom; energy of formation from the pure elements = 0.34 eV per atom
1.0
9.360 0.008 0.005
8.955 2.724 0.005
8.955 1.336 2.374
Re Mo Cu
1 2 1
Cartesian
13.583 2.026 1.187 Re
0.075 0.011 0.007 Mo
6.759 1.008 0.591 Mo
20.488 3.056 1.790 Cu


CuReMo2, relaxed, DFT PBE; calculated volume = 59.8 Å³/cell; polymorph energy (0 for the lowest one) = 0.1015 eV/atom; energy of formation from the pure elements = 0.28 eV per atom
1.0
-1.699 -0.009 -2.156
0.737 -2.582 -0.570
-5.854 -2.691 4.625
Mo Cu Re
2 1 1
Cartesian
-5.848 -2.688 4.620 Mo
-2.933 -1.348 2.318 Mo
-4.872 -3.314 2.106 Cu
-1.945 -1.968 -0.207 Re


CuReMo2, relaxed, DFT PBE; calculated volume = 59.7 Å³/cell; polymorph energy (0 for the lowest one) = 0.1023 eV/atom; energy of formation from the pure elements = 0.28 eV per atom
1.0
-1.478 -4.360 1.151
0.917 -4.021 2.347
-2.258 1.216 4.177
Cu Mo Re
1 2 1
Cartesian
-2.120 -5.385 5.770 Cu
-2.232 1.159 4.139 Mo
-0.718 -1.772 1.939 Mo
-1.418 -3.533 3.839 Re